(1)
Entry from the Alexandria database: a relaxed structure of LaMn2Tc (PBEsol).

- Calculated formation energy: 0.61 eV per atom
- Raw total energy: -8.419 eV per atom

a b c (Å): 6.331 6.331 6.331
angles (deg): 90.00 90.00 90.00
Space group F-43m (No. 216)
One atom of each set of equivalent atoms:
La 0.000 0.000 0.000
Mn 0.000 0.000 0.500
Mn 0.250 0.250 0.750
Tc 0.250 0.250 0.250

=====

(2)
Entry from the Alexandria database: a relaxed structure of ZnPt4Se (PBEsol).

- Formation energy from raw total energies: 1.7 eV per formula unit
- Raw total energy: -5.257 eV per atom

a b c (Å): 7.386 7.386 7.386
angles (deg): 90.00 90.00 90.00
Space group F-43m (No. 216)
One atom of each set of equivalent atoms:
Zn 0.000 0.000 0.000
Pt 0.125 0.125 0.375
Se 0.250 0.250 0.750

=====

(3)
Entry from the Alexandria database: a relaxed structure of Sc3Tl (PBEsol).

- Calculated formation energy: -0.19 eV per atom
- Raw total energy: -5.803 eV per atom

a b c (Å): 3.280 10.236 5.405
angles (deg): 90.00 90.00 90.00
Space group Imm2 (No. 44)
One atom of each set of equivalent atoms:
Sc 0.000 0.000 0.000
Sc 0.000 0.235 0.360
Tl 0.000 0.500 0.028

=====

(4)
Entry from the Alexandria database: a relaxed structure of MnRe2Se (PBEsol).

- Formation energy from raw total energies: 2.5 eV per formula unit
- Raw total energy: -9.446 eV per atom

a b c (Å): 3.810 3.810 7.779
angles (deg): 90.00 90.00 90.00
Space group I-4m2 (No. 119)
One atom of each set of equivalent atoms:
Mn 0.000 0.000 0.000
Re 0.000 0.000 0.500
Re 0.000 0.500 0.250
Se 0.000 0.500 0.750

=====

(5)
Entry from the Alexandria database: a relaxed structure of La2Ru (PBEsol).

- Calculated formation energy: -0.17 eV per atom
- Raw total energy: -7.122 eV per atom

a b c (Å): 6.566 6.651 4.173
angles (deg): 90.00 90.00 90.00
Space group Pnnm (No. 58)
One atom of each set of equivalent atoms:
La 0.228 0.170 0.000
Ru 0.000 0.000 0.500

=====

(6)
Entry from the Alexandria database: a relaxed structure of TlRePbO2 (PBEsol).

- Formation energy from raw total energies: -1.7 eV per formula unit
- Raw total energy: -6.423 eV per atom

a b c (Å): 3.952 3.952 5.705
angles (deg): 90.00 90.00 90.00
Space group P4/mmm (No. 123)
One atom of each set of equivalent atoms:
Tl 0.000 0.000 0.000
Re 0.000 0.000 0.500
Pb 0.500 0.500 0.000
O 0.000 0.500 0.500

=====

(7)
Entry from the Alexandria database: a relaxed structure of Mn3Fe3Si2 (PBEsol).

- Formation energy from raw total energies: -2.5 eV per formula unit
- Raw total energy: -8.765 eV per atom

a b c (Å): 3.9029 3.9029 19.1216
angles (deg): 90.00 90.00 120.00
Space group R3m (No. 160, hexagonal axes)
One atom of each set of equivalent atoms:
Mn 0.0000 0.0000 0.0000
Mn 0.0000 0.0000 0.2504
Mn 0.0000 0.0000 0.5001
Fe 0.0000 0.0000 0.1248
Fe 0.0000 0.0000 0.6247
Fe 0.0000 0.0000 0.7494
Si 0.0000 0.0000 0.3755
Si 0.0000 0.0000 0.8744

=====

(8)
Entry from the Alexandria database: a relaxed structure of P2Os (PBEsol).

- Calculated formation energy: -0.58 eV per atom
- Raw total energy: -8.514 eV per atom

a b c (Å): 5.092 5.887 2.911
angles (deg): 90.00 90.00 90.00
Space group Pnnm (No. 58)
One atom of each set of equivalent atoms:
P 0.162 0.128 0.000
Os 0.000 0.500 0.000

=====

(9)
Entry from the Alexandria database: a relaxed structure of BaMgCr (PBEsol).

- Calculated formation energy: 0.93 eV per atom
- Raw total energy: -3.773 eV per atom

a b c (Å): 7.541 7.541 7.541
angles (deg): 90.00 90.00 90.00
Space group F-43m (No. 216)
One atom of each set of equivalent atoms:
Ba 0.000 0.000 0.000
Mg 0.250 0.250 0.250
Cr 0.000 0.000 0.500

=====

(10)
Entry from the Alexandria database: a relaxed structure of Li2NbRe (PBEsol).

- Calculated formation energy: 0.75 eV per atom
- Raw total energy: -6.268 eV per atom

a b c (Å): 5.951 5.951 5.951
angles (deg): 90.00 90.00 90.00
Space group Fm-3m (No. 225)
One atom of each set of equivalent atoms:
Li 0.250 0.250 0.250
Nb 0.000 0.000 0.000
Re 0.000 0.000 0.500

=====

(11)
Entry from the Alexandria database: a relaxed structure of Fe2Co (PBEsol).

- Calculated formation energy: 0.02 eV per atom
- Raw total energy: -8.531 eV per atom

a b c (Å): 2.426 3.950 6.838
angles (deg): 90.00 90.10 90.00
Space group P2/m (No. 10)
One atom of each set of equivalent atoms:
Fe 0.000 0.000 0.000
Fe 0.000 0.500 0.500
Fe 0.337 0.000 0.668
Co 0.328 0.500 0.166

=====

(12)
Entry from the Alexandria database: a relaxed structure of HfP2OsS (PBEsol).

- Formation energy from raw total energies: 2.6 eV per formula unit
- Raw total energy: -7.213 eV per atom

a b c (Å): 4.425 4.425 4.847
angles (deg): 90.00 90.00 90.00
Space group P4/mmm (No. 123)
One atom of each set of equivalent atoms:
Hf 0.000 0.000 0.000
P 0.000 0.500 0.500
Os 0.500 0.500 0.500
S 0.500 0.500 0.000

=====

(13)
Entry from the Alexandria database: a relaxed structure of Mn2TlNiRh (PBEsol).

- Calculated formation energy: 0.98 eV per atom
- Raw total energy: -6.305 eV per atom

a b c (Å): 4.372 4.372 4.676
angles (deg): 90.00 90.00 90.00
Space group P4/mmm (No. 123)
One atom of each set of equivalent atoms:
Mn 0.000 0.500 0.000
Tl 0.000 0.000 0.500
Ni 0.000 0.000 0.000
Rh 0.500 0.500 0.500

=====

(14)
Entry from the Alexandria database: a relaxed structure of BeCrTc (PBEsol).

- Calculated formation energy: 0.75 eV per atom
- Raw total energy: -7.749 eV per atom

a b c (Å): 5.468 5.468 5.468
angles (deg): 90.00 90.00 90.00
Space group F-43m (No. 216)
One atom of each set of equivalent atoms:
Be 0.000 0.000 0.000
Cr 0.000 0.000 0.500
Tc 0.250 0.250 0.750

=====

| no. | ρ (g/cm3) |
| --- | --- |
| 1 | 9.1 |
| 2 | 15.2 |
| 3 | 6.2 |
| 4 | 14.9 |
| 5 | 6.9 |
| 6 | 11.7 |
| 7 | 7.7 |
| 8 | 9.6 |
| 9 | 3.3 |
| 10 | 9.2 |
| 11 | 8.6 |
| 12 | 8.1 |
| 13 | 8.8 |
| 14 | 6.5 |